No. 1
{"formula": "NbAlPd4", "functional": "PBE-GGA", "state": "relaxed", "ef_ev_per_atom": -0.527, "dos_at_fermi_per_ev_atom": 0.60, "crystal_system": "triclinic", "volume_a3_per_cell": 186.76, "total_magnetization_mub_per_cell": 0.00, "lattice_angstrom": [[4.7247, -1.1704, -0.8859], [-1.7201, 6.2622, 0.2440], [-2.6855, -2.7280, 7.3222]], "species": ["Nb", "Nb", "Al", "Al", "Pd", "Pd", "Pd", "Pd", "Pd", "Pd", "Pd", "Pd"], "frac_coords": [[0.8704, 0.1233, 0.2486], [0.1296, 0.8767, 0.7514], [0.3841, 0.6303, 0.2586], [0.6159, 0.3697, 0.7414], [0.1259, 0.8859, 0.4244], [0.1160, 0.8637, 0.0764], [0.3827, 0.6201, 0.5860], [0.3508, 0.6214, 0.9192], [0.8741, 0.1141, 0.5756], [0.6173, 0.3799, 0.4140], [0.8840, 0.1363, 0.9236], [0.6492, 0.3786, 0.0808]]}


No. 2
{"formula": "CePaCrSe6", "functional": "PBE-GGA", "state": "relaxed", "crystal_system": "trigonal", "volume_a3_per_cell": 244.97, "total_energy_ev_per_atom": -6.15, "total_magnetization_mub_per_cell": 3.07, "lattice_angstrom": [[-6.1223, 0.4810, -1.2093], [-1.3586, -0.8921, 6.5232], [0.9641, 6.1991, -2.4155]], "species": ["Ce", "Pa", "Cr", "Se", "Se", "Se", "Se", "Se", "Se"], "frac_coords": [[0.5000, 0.6667, 0.3333], [0.0000, 0.3333, 0.6667], [0.5000, 0.0000, 0.0000], [0.7435, 0.6878, 0.7011], [0.7435, 0.2989, 0.9867], [0.7435, 0.0133, 0.3122], [0.2565, 0.2989, 0.3122], [0.2565, 0.6878, 0.9867], [0.2565, 0.0133, 0.7011]]}